Material: PmSnPd
Method: DFT, PBE
State: optimized geometry

As for the energy above the lowest structure with this stoichiometry: 0.100 eV/atom. For the formation energy, the calculation gives -2.4 eV per formula unit. The magnetization comes out at 0.0 μB/cell. Its final energy is -5.4604 eV per atom.

The structure belongs to space group F-43m (No. 216); the cell edges are 6.757, 6.757 and 6.757 Å and the angles 90.00°, 90.00° and 90.00°. The inequivalent atoms are Pm at (0.000, 0.000, 0.000), Sn at (0.000, 0.000, 0.500) and Pd at (0.250, 0.250, 0.750).